No. 1
Entry from Alexandria via LeMat-Bulk: an optimized crystal structure of Tm2HfZr (PBE-GGA).

a b c (Å): 10.903 10.903 10.903
angles (deg): 17.55 17.55 17.55
Fractional positions:
Tm: 0.000 0.000 0.000
Tm: 0.168 0.168 0.168
Hf: 0.584 0.584 0.584
Zr: 0.418 0.418 0.418

## Properties
Size of the total moment, μB per atom: 0.000
Energy above the most stable polymorph in this dataset, meV/atom: 0
Crystal system: trigonal
DFT formation energy, eV/atom: 0.110

***

No. 2
Entry from Alexandria via LeMat-Bulk: an optimized crystal structure of TbPaTcAg (PBE-GGA).

a b c (Å): 4.990 4.990 4.990
angles (deg): 60.00 60.00 60.00
Fractional positions:
Tb: 0.000 0.000 0.000
Pa: 0.500 0.500 0.500
Tc: 0.750 0.750 0.750
Ag: 0.250 0.250 0.250

## Properties
Size of the total moment, μB per atom: 0.000
Crystal system: cubic
DFT formation energy, eV/atom: 0.031

***

no.,Fermi-level density of states (states/eV/cell)
1,5.7
2,6.4